YMg2AuC | PBE | optimized geometry

extended XYZ file:
```
5
Lattice="-3.156 2.615 -1.550 -2.921 -1.990 2.590 0.944 3.250 3.562" Properties=species:S:1:pos:R:3 pbc="T T T"
Mg -1.578 1.307 -0.775
C 0.000 0.000 0.000
Mg -1.460 -0.995 1.295
Y 0.472 1.625 1.781
Au -2.566 1.938 2.301
```

Results
- space-group type = P4/mmm (123)
- N(E_F) (states/eV per atom) = 0.362
- raw total energy (eV/atom) = -4.6913
- total magnetization (μB per atom) = 0.00

---

CeAs2F8 | PBE | optimized geometry

extended XYZ file:
```
11
Lattice="5.462 -0.106 -0.081 -0.054 6.295 1.450 -0.054 3.091 5.672" Properties=species:S:1:pos:R:3 pbc="T T T"
F 1.431 4.870 5.252
F 3.924 2.910 3.765
F 1.508 3.653 2.772
F 3.924 4.409 1.789
As 2.460 6.555 4.974
F 3.847 5.627 4.269
F 4.532 1.485 1.127
F 0.823 7.795 5.914
Ce 0.000 0.000 0.000
As 2.895 2.725 2.067
F 1.431 6.370 3.276
```

Results
- space-group type = C2/m (12)
- N(E_F) (states/eV per atom) = 0.393
- formation energy (no corrections) (eV per atom) = -2.5403
- total magnetization (μB per atom) = 0.07

---

Sr3SnSb2Pd9 | PBE | optimized geometry

extended XYZ file:
```
15
Lattice="6.807 0.000 0.000 -3.403 5.895 0.000 0.000 0.000 9.543" Properties=species:S:1:pos:R:3 pbc="T T T"
Sb 3.403 1.965 7.788
Pd -2.034 5.104 2.670
Pd 1.702 2.947 0.000
Pd 0.000 1.581 2.670
Pd 5.437 0.791 6.873
Sr 3.403 1.965 2.704
Sb 0.000 3.930 1.755
Pd 3.403 4.314 6.873
Pd 2.034 5.104 2.670
Sr 0.000 3.930 6.838
Pd -1.702 2.947 0.000
Sr 0.000 0.000 0.000
Pd 1.369 0.791 6.873
Sn 0.000 0.000 4.771
Pd 3.403 0.000 0.000
```

Results
- space-group type = P-3m1 (164)
- N(E_F) (states/eV per atom) = 0.236
- formation energy (no corrections) (eV per atom) = -0.4927
- total magnetization (μB per atom) = 0.00

---

Ti5Hg | PBE | optimized geometry

extended XYZ file:
```
6
Lattice="4.801 0.000 0.000 0.000 5.058 0.000 0.000 -2.529 4.381" Properties=species:S:1:pos:R:3 pbc="T T T"
Ti 2.400 2.529 1.460
Ti 0.000 1.660 0.000
Ti 0.000 1.699 2.943
Ti 2.400 0.000 2.920
Ti 0.000 -0.830 1.438
Hg 2.400 0.000 0.000
```

Results
- space-group type = P-62m (189)
- N(E_F) (states/eV per atom) = 0.890
- offset from the most stable computed form (meV per atom) = 53
- total magnetization (μB per atom) = 0.00

---

Q: Which of these has the lowest N(E_F)?
A: Sr3SnSb2Pd9

---

Q: Which value of total magnetization does entry 1 give?
A: 0.00 μB per atom